[1]
TbPrSmN3 | PBE | relaxed

POSCAR file:
```
TbPrSmN3
1.0
6.152 0.000 0.000
0.000 3.568 0.000
-1.874 0.000 9.063
Tb Pr Sm N
2 2 2 6
Direct
0.150 0.250 0.139
0.850 0.750 0.861
0.345 0.250 0.803
0.655 0.750 0.197
0.231 0.750 0.454
0.769 0.250 0.546
0.036 0.750 0.656
0.245 0.750 0.009
0.461 0.250 0.328
0.539 0.750 0.672
0.755 0.250 0.991
0.964 0.250 0.344
```

Output
magnetization = 0.0 Bohr magnetons per cell
E_form (uncorrected) = -1320 meV per atom

[2]
PrSm2TcN4 | PBE | relaxed

POSCAR file:
```
PrSm2TcN4
1.0
1.762 -5.982 0.000
1.762 5.982 0.000
0.000 0.000 11.898
Pr Sm Tc N
2 4 2 8
Direct
0.120 0.880 0.750
0.880 0.120 0.250
0.368 0.632 0.540
0.368 0.632 0.960
0.632 0.368 0.040
0.632 0.368 0.460
0.146 0.854 0.250
0.854 0.146 0.750
0.000 0.000 0.000
0.000 0.000 0.500
0.266 0.734 0.132
0.266 0.734 0.368
0.432 0.568 0.750
0.568 0.432 0.250
0.734 0.266 0.632
0.734 0.266 0.868
```

Output
magnetization = 0.0 Bohr magnetons per cell
E_form (uncorrected) = -972 meV per atom

[3]
PrSmTeN | PBE | relaxed

POSCAR file:
```
PrSmTeN
1.0
3.880 0.000 0.000
0.000 3.929 0.000
0.000 0.000 13.410
Pr Sm Te N
2 2 2 2
Direct
0.000 0.000 0.000
0.500 0.500 0.500
0.000 0.000 0.302
0.500 0.500 0.802
0.000 0.000 0.655
0.500 0.500 0.155
0.000 0.500 0.899
0.500 0.000 0.399
```

Output
magnetization = 1.9 Bohr magnetons per cell
E_form (uncorrected) = -1303 meV per atom

[4]
Pr2Sm4Te3N2 | PBE | relaxed

POSCAR file:
```
Pr2Sm4Te3N2
1.0
-2.350 2.350 13.182
2.350 -2.350 13.182
2.350 2.350 -13.182
Pr Sm Te N
2 4 3 2
Direct
0.195 0.195 0.000
0.805 0.805 0.000
0.083 0.583 0.500
0.417 0.917 0.500
0.583 0.083 0.500
0.917 0.417 0.500
0.324 0.324 0.000
0.500 0.500 0.000
0.676 0.676 0.000
0.105 0.105 0.000
0.895 0.895 0.000
```

Output
magnetization = 0.0 Bohr magnetons per cell
E_form (uncorrected) = -1187 meV per atom

[5]
Pr4SmTh3N8 | PBE | relaxed

POSCAR file:
```
Pr4SmTh3N8
1.0
3.668 2.118 5.990
-3.668 2.118 5.990
0.000 -4.235 5.990
Pr Sm Th N
4 1 3 8
Direct
0.000 0.000 0.000
0.000 0.500 0.500
0.500 0.000 0.500
0.500 0.500 0.000
0.500 0.500 0.500
0.000 0.000 0.500
0.000 0.500 0.000
0.500 0.000 0.000
0.240 0.747 0.747
0.244 0.244 0.244
0.253 0.253 0.760
0.253 0.760 0.253
0.747 0.240 0.747
0.747 0.747 0.240
0.756 0.756 0.756
0.760 0.253 0.253
```

Output
magnetization = 0.0 Bohr magnetons per cell
E_form (uncorrected) = -1485 meV per atom

[6]
PrSmTh2N4 | PBE | relaxed

POSCAR file:
```
PrSmTh2N4
1.0
6.309 0.000 0.000
0.000 3.663 0.000
-2.121 0.000 5.974
Pr Sm Th N
1 1 2 4
Direct
0.000 0.000 0.000
0.000 0.500 0.500
0.500 0.000 0.500
0.500 0.500 0.000
0.263 0.000 0.751
0.266 0.500 0.259
0.734 0.500 0.741
0.737 0.000 0.249
```

Output
magnetization = 0.0 Bohr magnetons per cell
E_form (uncorrected) = -1520 meV per atom

[7]
PrSm2Th3N6 | PBE | relaxed

POSCAR file:
```
PrSm2Th3N6
1.0
3.166 -5.478 0.000
3.166 5.478 0.000
-2.111 0.000 5.928
Pr Sm Th N
1 2 3 6
Direct
0.000 0.000 0.000
0.333 0.667 0.000
0.667 0.333 0.000
0.167 0.833 0.500
0.500 0.500 0.500
0.833 0.167 0.500
0.087 0.427 0.263
0.252 0.252 0.739
0.427 0.087 0.263
0.573 0.913 0.737
0.748 0.748 0.261
0.913 0.573 0.737
```

Output
magnetization = 0.0 Bohr magnetons per cell
E_form (uncorrected) = -1533 meV per atom

[8]
PrSm2ThN4 | PBE | relaxed

POSCAR file:
```
PrSm2ThN4
1.0
6.278 0.000 0.000
0.000 3.639 0.000
-2.087 0.000 5.934
Pr Sm Th N
1 2 1 4
Direct
0.000 0.000 0.000
0.500 0.000 0.500
0.500 0.500 0.000
0.000 0.500 0.500
0.246 0.000 0.741
0.250 0.500 0.259
0.750 0.500 0.741
0.754 0.000 0.259
```

Output
magnetization = 0.0 Bohr magnetons per cell
E_form (uncorrected) = -1497 meV per atom

[9]
PrSmThN3 | PBE | relaxed

POSCAR file:
```
PrSmThN3
1.0
6.238 0.000 0.000
0.000 3.619 0.000
-1.880 0.000 9.179
Pr Sm Th N
2 2 2 6
Direct
0.156 0.250 0.191
0.844 0.750 0.809
0.350 0.250 0.864
0.650 0.750 0.136
0.265 0.750 0.547
0.735 0.250 0.453
0.044 0.250 0.656
0.251 0.750 0.002
0.462 0.750 0.353
0.538 0.250 0.647
0.749 0.250 0.998
0.956 0.750 0.344
```

Output
magnetization = 0.0 Bohr magnetons per cell
E_form (uncorrected) = -1337 meV per atom

[10]
PrSmTiN3 | PBE | relaxed

POSCAR file:
```
PrSmTiN3
1.0
7.441 0.000 0.000
0.000 3.617 0.000
-1.009 0.000 7.714
Pr Sm Ti N
2 2 2 6
Direct
0.165 0.250 0.166
0.835 0.750 0.834
0.372 0.750 0.835
0.628 0.250 0.165
0.099 0.250 0.597
0.901 0.750 0.403
0.110 0.250 0.847
0.163 0.750 0.520
0.396 0.750 0.136
0.604 0.250 0.864
0.837 0.250 0.480
0.890 0.750 0.153
```

Output
magnetization = 0.0 Bohr magnetons per cell
E_form (uncorrected) = -1249 meV per atom

[11]
PrSm2TiN4 | PBE | relaxed

POSCAR file:
```
PrSm2TiN4
1.0
1.743 -6.018 0.000
1.743 6.018 0.000
0.000 0.000 12.171
Pr Sm Ti N
2 4 2 8
Direct
0.098 0.902 0.750
0.902 0.098 0.250
0.370 0.630 0.540
0.370 0.630 0.960
0.630 0.370 0.040
0.630 0.370 0.460
0.167 0.833 0.250
0.833 0.167 0.750
0.000 0.000 0.000
0.000 0.000 0.500
0.265 0.735 0.129
0.265 0.735 0.371
0.425 0.575 0.750
0.575 0.425 0.250
0.735 0.265 0.629
0.735 0.265 0.871
```

Output
magnetization = 0.0 Bohr magnetons per cell
E_form (uncorrected) = -1347 meV per atom

[12]
Pr2SmTlN | PBE | relaxed

POSCAR file:
```
Pr2SmTlN
1.0
5.088 0.000 0.000
0.000 5.088 0.000
0.000 0.000 4.967
Pr Sm Tl N
2 1 1 1
Direct
0.000 0.500 0.000
0.500 0.000 0.000
0.000 0.000 0.500
0.500 0.500 0.500
0.000 0.000 0.000
```

Output
magnetization = 0.0 Bohr magnetons per cell
E_form (uncorrected) = -805 meV per atom

[13]
PrSm2TlN | PBE | relaxed

POSCAR file:
```
PrSm2TlN
1.0
4.969 0.000 0.000
0.000 4.969 0.000
0.000 0.000 5.079
Pr Sm Tl N
1 2 1 1
Direct
0.000 0.000 0.000
0.000 0.500 0.500
0.500 0.000 0.500
0.500 0.500 0.000
0.000 0.000 0.500
```

Output
magnetization = 0.0 Bohr magnetons per cell
E_form (uncorrected) = -832 meV per atom

[14]
Pr2Sm3UN6 | PBE | relaxed

POSCAR file:
```
Pr2Sm3UN6
1.0
3.113 -5.389 0.000
3.113 5.389 0.000
-2.080 0.000 5.819
Pr Sm U N
2 3 1 6
Direct
0.166 0.834 0.000
0.834 0.166 0.000
0.000 0.000 0.500
0.335 0.665 0.500
0.665 0.335 0.500
0.500 0.500 0.000
0.123 0.421 0.764
0.280 0.280 0.238
0.421 0.123 0.764
0.579 0.877 0.236
0.720 0.720 0.762
0.877 0.579 0.236
```

Output
magnetization = 0.0 Bohr magnetons per cell
E_form (uncorrected) = -1457 meV per atom

[15]
PrSm2UN4 | PBE | relaxed

POSCAR file:
```
PrSm2UN4
1.0
5.041 0.000 0.000
0.000 5.041 0.000
0.000 0.000 10.099
Pr Sm U N
2 4 2 8
Direct
0.000 0.000 0.000
0.500 0.500 0.500
0.000 0.000 0.500
0.000 0.500 0.250
0.500 0.000 0.750
0.500 0.500 0.000
0.000 0.500 0.750
0.500 0.000 0.250
0.000 0.000 0.253
0.000 0.000 0.747
0.000 0.500 0.532
0.000 0.500 0.968
0.500 0.000 0.032
0.500 0.000 0.468
0.500 0.500 0.247
0.500 0.500 0.753
```

Output
magnetization = 2.3 Bohr magnetons per cell
E_form (uncorrected) = -1416 meV per atom

[16]
Pr2SmUN4 | PBE | relaxed

POSCAR file:
```
Pr2SmUN4
1.0
6.154 0.000 0.000
0.000 3.584 0.000
-2.030 0.000 5.891
Pr Sm U N
2 1 1 4
Direct
0.000 0.000 0.000
0.500 0.500 0.000
0.000 0.500 0.500
0.500 0.000 0.500
0.272 0.000 0.715
0.284 0.500 0.290
0.716 0.500 0.710
0.728 0.000 0.285
```

Output
magnetization = 0.0 Bohr magnetons per cell
E_form (uncorrected) = -1420 meV per atom

[17]
Pr4Sm3UN8 | PBE | relaxed

POSCAR file:
```
Pr4Sm3UN8
1.0
3.597 2.077 5.918
-3.597 2.077 5.918
0.000 -4.153 5.918
Pr Sm U N
4 3 1 8
Direct
0.000 0.000 0.000
0.000 0.500 0.500
0.500 0.000 0.500
0.500 0.500 0.000
0.000 0.000 0.500
0.000 0.500 0.000
0.500 0.000 0.000
0.500 0.500 0.500
0.247 0.247 0.247
0.268 0.727 0.727
0.273 0.273 0.732
0.273 0.732 0.273
0.727 0.268 0.727
0.727 0.727 0.268
0.732 0.273 0.273
0.753 0.753 0.753
```

Output
magnetization = 0.0 Bohr magnetons per cell
E_form (uncorrected) = -1404 meV per atom

[18]
PrSm2VN4 | PBE | relaxed

POSCAR file:
```
PrSm2VN4
1.0
1.728 -5.987 0.000
1.728 5.987 0.000
0.000 0.000 12.052
Pr Sm V N
2 4 2 8
Direct
0.084 0.916 0.750
0.916 0.084 0.250
0.370 0.630 0.542
0.370 0.630 0.958
0.630 0.370 0.042
0.630 0.370 0.458
0.176 0.824 0.250
0.824 0.176 0.750
0.000 0.000 0.000
0.000 0.000 0.500
0.266 0.734 0.130
0.266 0.734 0.370
0.418 0.582 0.750
0.582 0.418 0.250
0.734 0.266 0.630
0.734 0.266 0.870
```

Output
magnetization = 0.0 Bohr magnetons per cell
E_form (uncorrected) = -1236 meV per atom

[19]
Pr2SmVN4 | PBE | relaxed

POSCAR file:
```
Pr2SmVN4
1.0
1.732 -5.951 0.000
1.732 5.951 0.000
0.000 0.000 12.426
Pr Sm V N
4 2 2 8
Direct
0.132 0.868 0.543
0.132 0.868 0.957
0.868 0.132 0.043
0.868 0.132 0.457
0.413 0.587 0.750
0.587 0.413 0.250
0.323 0.677 0.250
0.677 0.323 0.750
0.078 0.922 0.750
0.228 0.772 0.138
0.228 0.772 0.362
0.500 0.500 0.000
0.500 0.500 0.500
0.772 0.228 0.638
0.772 0.228 0.862
0.922 0.078 0.250
```

Output
magnetization = 0.0 Bohr magnetons per cell
E_form (uncorrected) = -1103 meV per atom

[20]
PrSm2WN4 | PBE | relaxed

POSCAR file:
```
PrSm2WN4
1.0
1.743 -6.053 0.000
1.743 6.053 0.000
0.000 0.000 12.252
Pr Sm W N
2 4 2 8
Direct
0.089 0.911 0.750
0.911 0.089 0.250
0.370 0.630 0.538
0.370 0.630 0.962
0.630 0.370 0.038
0.630 0.370 0.462
0.169 0.831 0.250
0.831 0.169 0.750
0.000 0.000 0.000
0.000 0.000 0.500
0.265 0.735 0.127
0.265 0.735 0.373
0.428 0.572 0.750
0.572 0.428 0.250
0.735 0.265 0.627
0.735 0.265 0.873
```

Output
magnetization = 0.0 Bohr magnetons per cell
E_form (uncorrected) = -1009 meV per atom